--- P ---
LiAcZnAg: optimized geometry, GGA-PBE.

Results
- Volume: 25.11 Å³ per atom
- Magnetization: 0.00 μB/cell

Structure (POSCAR):
```
LiAcZnAg
1.0
5.217 0.000 0.000
2.609 4.518 0.000
2.609 1.506 4.260
Ac Zn Ag Li
1 1 1 1
Cartesian
0.000 0.000 0.000
7.826 4.518 3.195
2.609 1.506 1.065
5.217 3.012 2.130
```

=====

--- Q ---
LiAcZnAg: optimized geometry, GGA-PBE.

Results
- Volume: 24.58 Å³ per atom
- Magnetization: 0.00 μB/cell

Structure (POSCAR):
```
LiAcZnAg
1.0
4.643 0.000 0.000
-2.321 4.008 -0.010
0.000 -2.678 5.291
Li Ac Zn Ag
1 1 1 1
Cartesian
0.000 -1.723 5.198
2.321 -0.383 2.598
2.321 2.294 0.543
0.000 0.949 4.696
```

=====

So which one is most stable? That would be Q, about 8.5 kJ/mol of atoms below the next structure.